Entry from the Alexandria database: a relaxed Tb2Pr2SmHo crystal (GGA-PBE).

Calculated values
- energy of formation from the pure elements (meV/atom) = 65
- D(E_F) (states/eV/f.u.) = 8.88

Cell lengths 7.054, 5.718, 9.921 Å; angles 90.00, 90.00, 90.00 degrees
Space group Pmma (No. 51)
Asymmetric unit:
1 Tb 0.250 0.000 0.165 x2
2 Tb 0.250 0.500 0.667 x2
3 Pr 0.000 0.500 0.000 x2
4 Pr 0.250 0.000 0.828 x2
5 Sm 0.000 0.000 0.500 x2
6 Ho 0.250 0.500 0.337 x2